(1)
This record from Alexandria via LeMat-Bulk describes a relaxed structure of CoPtAu2. The functional is PBE-GGA.

Cell lengths 2.8439, 2.8439, 7.7866 Å; angles 90.00, 90.00, 90.06 degrees
With the nearest neighbours (Å) after each atom.
Atoms (fractional coordinates):
Co (0.5000, 0.5000, 0.2500)  8 Au 2.71, 4 Co 2.84
Au (0.0000, 0.0000, 0.0175)  4 Co 2.71, 4 Au 2.84, 4 Pt 2.89-2.90
Au (0.0000, 0.0000, 0.4825)  4 Co 2.71, 4 Au 2.84, 4 Pt 2.89-2.90
Pt (0.5000, 0.5000, 0.7500)  4 Pt 2.84, 8 Au 2.89-2.90

Summary:
The value obtained for the energy relative to the lowest polymorph listed for this composition is 0.1154 eV/atom.

(2)
This record from Alexandria via LeMat-Bulk describes a relaxed structure of CoPtAu. The functional is PBE-GGA.

Cell lengths 4.1634, 4.1634, 4.1634 Å; angles 60.00, 60.00, 60.00 degrees
With the nearest neighbours (Å) after each atom.
Atoms (fractional coordinates):
Co (0.7500, 0.7500, 0.7500)  4 Au 2.55, 4 Pt 2.55
Pt (0.0000, 0.0000, 0.0000)  4 Co 2.55
Au (0.5000, 0.5000, 0.5000)  4 Co 2.55

Summary:
The value obtained for the energy relative to the lowest polymorph listed for this composition is 0.2761 eV/atom.

(3)
This record from Alexandria via LeMat-Bulk describes a relaxed structure of CoPtAu2. The functional is PBE-GGA.

Cell lengths 7.2109, 7.2109, 5.7513 Å; angles 51.18, 51.18, 90.00 degrees
With the nearest neighbours (Å) after each atom.
Atoms (fractional coordinates):
Pt (0.7500, 0.2500, 0.5000)  2 Co 2.66, 4 Au 2.74
Co (0.5000, 0.5000, 0.0000)  4 Au 2.54, 2 Pt 2.66
Pt (0.0000, 0.0000, 0.0000)  2 Co 2.66, 4 Au 2.74
Co (0.2500, 0.7500, 0.5000)  4 Au 2.54, 2 Pt 2.66
Au (0.3750, 0.3951, 0.7500)  2 Co 2.54, 2 Au 2.68, 2 Pt 2.74
Au (0.1451, 0.6250, 0.2500)  2 Co 2.54, 2 Au 2.68, 2 Pt 2.74
Au (0.6049, 0.1250, 0.2500)  2 Co 2.54, 2 Au 2.68, 2 Pt 2.74
Au (0.8750, 0.8549, 0.7500)  2 Co 2.54, 2 Au 2.68, 2 Pt 2.74

Summary:
The value obtained for the energy relative to the lowest polymorph listed for this composition is 0.4145 eV/atom.

(4)
This record from Alexandria via LeMat-Bulk describes a relaxed structure of CoPt2Au. The functional is PBE-GGA.

Cell lengths 2.7731, 4.7336, 4.7285 Å; angles 90.00, 90.00, 90.00 degrees
With the nearest neighbours (Å) after each atom.
Atoms (fractional coordinates):
Au (0.5000, 0.0000, 0.5000)  4 Pt 2.74, 4 Co 2.74, 2 Au 2.77
Pt (0.5000, 0.5000, 0.0000)  4 Co 2.74, 6 Pt 2.74-2.77
Pt (0.0000, 0.0000, 0.0000)  4 Au 2.74, 6 Pt 2.74-2.77
Co (0.0000, 0.5000, 0.5000)  4 Pt 2.74, 4 Au 2.74, 2 Co 2.77

(5)
This record from Alexandria via LeMat-Bulk describes a relaxed structure of CoPtAu. The functional is PBE-GGA.

Cell lengths 4.3906, 4.3906, 2.7590 Å; angles 90.00, 90.00, 120.00 degrees
With the nearest neighbours (Å) after each atom.
Atoms (fractional coordinates):
Pt (0.6667, 0.3333, 0.5009)  3 Co 2.53, 2 Pt 2.76
Au (0.0000, 0.0000, 0.0003)  2 Au 2.76, 6 Co 2.88-2.89, 6 Pt 2.89
Co (0.3333, 0.6667, 0.4987)  3 Pt 2.53, 2 Co 2.76

Summary:
The value obtained for the energy relative to the lowest polymorph listed for this composition is 0.1351 eV/atom.

(6)
This record from Alexandria via LeMat-Bulk describes a relaxed structure of CoPtAu. The functional is PBE-GGA.

Cell lengths 2.7959, 2.7959, 6.7176 Å; angles 90.00, 90.00, 120.00 degrees
With the nearest neighbours (Å) after each atom.
Atoms (fractional coordinates):
Co (0.6667, 0.3333, 0.3418)  3 Pt 2.59, 3 Au 2.73, 6 Co 2.80
Pt (0.3333, 0.6667, 0.6433)  3 Co 2.59, 6 Pt 2.80
Au (0.0000, 0.0000, 0.0149)  3 Co 2.73, 6 Au 2.80, 3 Pt 2.97

Summary:
The value obtained for the energy relative to the lowest polymorph listed for this composition is 0.0439 eV/atom.

(7)
This record from Alexandria via LeMat-Bulk describes a relaxed structure of Co2Pt2Au. The functional is PBE-GGA.

Cell lengths 3.4486, 3.4486, 6.9629 Å; angles 75.66, 75.66, 90.00 degrees
With the nearest neighbours (Å) after each atom.
Atoms (fractional coordinates):
Co (0.2500, 0.7500, 0.5000)  4 Co 2.44, 4 Pt 2.53
Co (0.7500, 0.2500, 0.5000)  4 Co 2.44, 4 Pt 2.53
Au (0.0000, 0.0000, 0.0000)  8 Pt 2.82
Pt (0.3921, 0.3921, 0.2157)  4 Co 2.53, 1 Pt 2.81, 4 Au 2.82
Pt (0.6079, 0.6079, 0.7843)  4 Co 2.53, 1 Pt 2.81, 4 Au 2.82

Summary:
The value obtained for the energy relative to the lowest polymorph listed for this composition is 0.1493 eV/atom.

(8)
This record from Alexandria via LeMat-Bulk describes a relaxed structure of Co2PtAu. The functional is PBE-GGA.

Cell lengths 4.6473, 4.6473, 4.6473 Å; angles 130.80, 130.82, 72.12 degrees
With the nearest neighbours (Å) after each atom.
Atoms (fractional coordinates):
Au (0.2500, 0.7500, 0.5000)  8 Co 2.70, 4 Pt 2.74
Co (0.5000, 0.5000, 0.0000)  4 Pt 2.70, 4 Au 2.70, 4 Co 2.74
Co (0.0000, 0.0000, 0.0000)  4 Pt 2.70, 4 Au 2.70, 4 Co 2.74
Pt (0.7500, 0.2500, 0.5000)  8 Co 2.70, 4 Au 2.74

Summary:
The value obtained for the energy relative to the lowest polymorph listed for this composition is 0.0554 eV/atom.

(9)
This record from Alexandria via LeMat-Bulk describes a relaxed structure of Co2PtAu. The functional is PBE-GGA.

Cell lengths 2.7449, 2.7449, 7.4430 Å; angles 90.00, 90.00, 90.00 degrees
With the nearest neighbours (Å) after each atom.
Atoms (fractional coordinates):
Pt (0.0000, 0.0000, 0.4705)  4 Co 2.65, 4 Pt 2.74, 4 Au 2.95
Co (0.0000, 0.0000, 0.0323)  4 Co 2.43
Au (0.5000, 0.5000, 0.7689)  4 Au 2.74, 4 Co 2.76, 4 Pt 2.95
Co (0.5000, 0.5000, 0.2283)  4 Co 2.43, 4 Pt 2.65

Summary:
The value obtained for the energy relative to the lowest polymorph listed for this composition is 0.0000 eV/atom.

(10)
This record from Alexandria via LeMat-Bulk describes a relaxed structure of CoPtAu2. The functional is PBE-GGA.

Cell lengths 2.8703, 3.8900, 5.6760 Å; angles 90.00, 90.00, 90.00 degrees
With the nearest neighbours (Å) after each atom.
Atoms (fractional coordinates):
Au (0.0000, 0.0000, 0.4903)  4 Au 2.73-2.95, 4 Co 2.78, 4 Pt 2.83
Co (0.5000, 0.5000, 0.2500)  8 Au 2.78, 2 Pt 2.84, 2 Co 2.87
Pt (0.5000, 0.5000, 0.7500)  8 Au 2.83, 2 Co 2.84, 2 Pt 2.87
Au (0.0000, 0.0000, 0.0097)  4 Au 2.73-2.95, 4 Co 2.78, 4 Pt 2.83

Summary:
The value obtained for the energy relative to the lowest polymorph listed for this composition is 0.1308 eV/atom.

(11)
This record from Alexandria via LeMat-Bulk describes a relaxed structure of CoPt2Au. The functional is PBE-GGA.

Cell lengths 3.8448, 2.7934, 6.3528 Å; angles 63.70, 90.00, 90.00 degrees
With the nearest neighbours (Å) after each atom.
Atoms (fractional coordinates):
Au (0.0000, 0.4913, 0.5079)  6 Pt 2.71-2.99, 2 Au 2.79, 4 Co 2.79-2.80
Co (0.5000, 0.7326, 0.7676)  5 Pt 2.67-2.70, 2 Co 2.79, 4 Au 2.79-2.80
Pt (0.5000, 0.2593, 0.2409)  2 Co 2.70-3.00, 6 Pt 2.79, 4 Au 2.82
Pt (0.0000, 0.0167, 0.9837)  4 Co 2.67-2.68, 2 Au 2.71-2.99, 6 Pt 2.79

(12)
This record from Alexandria via LeMat-Bulk describes a relaxed structure of CoPtAu2. The functional is PBE-GGA.

Cell lengths 4.4878, 4.4878, 4.4878 Å; angles 60.00, 60.00, 60.00 degrees
With the nearest neighbours (Å) after each atom.
Atoms (fractional coordinates):
Co (0.0000, 0.0000, 0.0000)  8 Au 2.75
Au (0.2500, 0.2500, 0.2500)  4 Pt 2.75, 4 Co 2.75
Pt (0.5000, 0.5000, 0.5000)  8 Au 2.75
Au (0.7500, 0.7500, 0.7500)  4 Pt 2.75, 4 Co 2.75

Summary:
The value obtained for the energy relative to the lowest polymorph listed for this composition is 0.1843 eV/atom.

(13)
This record from Alexandria via LeMat-Bulk describes a relaxed structure of CoPtAu2. The functional is PBE-GGA.

Cell lengths 4.8806, 4.8806, 4.8806 Å; angles 131.72, 131.72, 70.66 degrees
With the nearest neighbours (Å) after each atom.
Atoms (fractional coordinates):
Au (0.5000, 0.5000, 0.0000)  4 Pt 2.82, 4 Co 2.82, 4 Au 2.82
Co (0.2500, 0.7500, 0.5000)  8 Au 2.82, 4 Pt 2.82
Pt (0.7500, 0.2500, 0.5000)  8 Au 2.82, 4 Co 2.82
Au (0.0000, 0.0000, 0.0000)  4 Co 2.82, 4 Pt 2.82, 4 Au 2.82

Summary:
The value obtained for the energy relative to the lowest polymorph listed for this composition is 0.1284 eV/atom.

(14)
This record from Alexandria via LeMat-Bulk describes a relaxed structure of CoPt2Au. The functional is PBE-GGA.

Cell lengths 4.8169, 4.8169, 4.8169 Å; angles 131.68, 131.68, 70.74 degrees
With the nearest neighbours (Å) after each atom.
Atoms (fractional coordinates):
Pt (0.0000, 0.0000, 0.0000)  4 Co 2.78, 4 Pt 2.78, 4 Au 2.79
Co (0.7500, 0.2500, 0.5000)  4 Au 2.78, 8 Pt 2.78-2.79
Au (0.5000, 0.5000, 0.0000)  4 Co 2.78, 8 Pt 2.78-2.79
Pt (0.2500, 0.7500, 0.5000)  4 Pt 2.78, 4 Au 2.78, 4 Co 2.79

(15)
This record from Alexandria via LeMat-Bulk describes a relaxed structure of CoPtAu. The functional is PBE-GGA.

Cell lengths 6.0451, 6.0452, 2.8117 Å; angles 76.55, 76.55, 26.89 degrees
With the nearest neighbours (Å) after each atom.
Atoms (fractional coordinates):
Au (0.9917, 0.9917, 0.0083)  4 Co 2.74, 4 Au 2.81, 4 Pt 2.94
Pt (0.6818, 0.6818, 0.3182)  4 Co 2.59, 4 Pt 2.81
Co (0.3265, 0.3265, 0.6735)  4 Pt 2.59, 4 Au 2.74, 4 Co 2.81

Summary:
The value obtained for the energy relative to the lowest polymorph listed for this composition is 0.0000 eV/atom.

(16)
This record from Alexandria via LeMat-Bulk describes a relaxed structure of Co2Pt2Au. The functional is PBE-GGA.

Cell lengths 7.4148, 7.4148, 2.7338 Å; angles 90.00, 90.00, 90.00 degrees
With the nearest neighbours (Å) after each atom.
Atoms (fractional coordinates):
Au (0.0000, 0.0000, 0.0000)  2 Au 2.73, 4 Pt 2.90
Pt (0.3691, 0.8691, 0.0000)  6 Co 2.53-2.60, 3 Pt 2.73-2.74
Co (0.1660, 0.6660, 0.5000)  6 Pt 2.53-2.60, 2 Co 2.73
Au (0.5000, 0.5000, 0.0000)  2 Au 2.73, 4 Pt 2.90
Co (0.6660, 0.8340, 0.5000)  6 Pt 2.53-2.60, 2 Co 2.73
Pt (0.8691, 0.6309, 0.0000)  6 Co 2.53-2.60, 3 Pt 2.73-2.74
Co (0.3340, 0.1660, 0.5000)  6 Pt 2.53-2.60, 2 Co 2.73
Pt (0.1309, 0.3691, 0.0000)  6 Co 2.53-2.60, 3 Pt 2.73-2.74
Pt (0.6309, 0.1309, 0.0000)  6 Co 2.53-2.60, 3 Pt 2.73-2.74
Co (0.8340, 0.3340, 0.5000)  6 Pt 2.53-2.60, 2 Co 2.73

Summary:
The value obtained for the energy relative to the lowest polymorph listed for this composition is 0.0040 eV/atom.

(17)
This record from Alexandria via LeMat-Bulk describes a relaxed structure of Co2PtAu. The functional is PBE-GGA.

Cell lengths 4.6327, 4.6327, 2.7501 Å; angles 90.00, 90.00, 107.81 degrees
With the nearest neighbours (Å) after each atom.
Atoms (fractional coordinates):
Pt (0.5000, 0.0000, 0.5000)  8 Co 2.69, 2 Au 2.73, 2 Pt 2.75
Co (0.0000, 0.0000, 0.0000)  4 Au 2.69, 4 Pt 2.69, 4 Co 2.73-2.75
Co (0.5000, 0.5000, 0.0000)  4 Pt 2.69, 4 Au 2.69, 4 Co 2.73-2.75
Au (0.0000, 0.5000, 0.5000)  8 Co 2.69, 2 Pt 2.73, 2 Au 2.75

Summary:
The value obtained for the energy relative to the lowest polymorph listed for this composition is 0.0411 eV/atom.

(18)
This record from Alexandria via LeMat-Bulk describes a relaxed structure of CoPtAu2. The functional is PBE-GGA.

Cell lengths 4.4919, 4.4919, 4.4919 Å; angles 60.00, 60.00, 60.00 degrees
With the nearest neighbours (Å) after each atom.
Atoms (fractional coordinates):
Au (0.0000, 0.0000, 0.0000)  4 Au 2.75, 4 Pt 2.75
Co (0.5000, 0.5000, 0.5000)  4 Pt 2.75, 4 Au 2.75
Au (0.2500, 0.2500, 0.2500)  4 Co 2.75, 4 Au 2.75
Pt (0.7500, 0.7500, 0.7500)  4 Co 2.75, 4 Au 2.75

Summary:
The value obtained for the energy relative to the lowest polymorph listed for this composition is 0.1868 eV/atom.

(19)
This record from Alexandria via LeMat-Bulk describes a relaxed structure of Co2PtAu. The functional is PBE-GGA.

Cell lengths 2.7363, 2.7363, 7.5334 Å; angles 90.00, 90.00, 90.00 degrees
With the nearest neighbours (Å) after each atom.
Atoms (fractional coordinates):
Pt (0.5000, 0.5000, 0.2500)  8 Co 2.65, 4 Pt 2.74
Au (0.5000, 0.5000, 0.7500)  4 Au 2.74, 8 Co 2.75
Co (0.0000, 0.0000, 0.0091)  4 Pt 2.65, 4 Co 2.74, 4 Au 2.75
Co (0.0000, 0.0000, 0.4910)  4 Pt 2.65, 4 Co 2.74, 4 Au 2.75

Summary:
The value obtained for the energy relative to the lowest polymorph listed for this composition is 0.0263 eV/atom.

(20)
This record from Alexandria via LeMat-Bulk describes a relaxed structure of Co2PtAu. The functional is PBE-GGA.

Cell lengths 6.8788, 6.8788, 5.5373 Å; angles 51.60, 51.60, 90.00 degrees
With the nearest neighbours (Å) after each atom.
Atoms (fractional coordinates):
Co (0.3750, 0.3899, 0.7500)  2 Pt 2.45, 2 Au 2.59, 2 Co 2.65
Pt (0.5000, 0.5000, 0.0000)  4 Co 2.45, 2 Au 2.65
Au (0.7500, 0.2500, 0.5000)  4 Co 2.59, 2 Pt 2.65
Co (0.6101, 0.1250, 0.2500)  2 Pt 2.45, 2 Au 2.59, 2 Co 2.65
Pt (0.2500, 0.7500, 0.5000)  4 Co 2.45, 2 Au 2.65
Co (0.1399, 0.6250, 0.2500)  2 Pt 2.45, 2 Au 2.59, 2 Co 2.65
Au (0.0000, 0.0000, 0.0000)  4 Co 2.59, 2 Pt 2.65
Co (0.8750, 0.8601, 0.7500)  2 Pt 2.45, 2 Au 2.59, 2 Co 2.65

Summary:
The value obtained for the energy relative to the lowest polymorph listed for this composition is 0.4306 eV/atom.

no.,energy of formation (eV/atom),total magnetic moment (μB per atom),ρ (g/cm3)
1,0.158,0.51,17.09
2,0.320,0.77,14.67
3,0.457,0.60,15.55
4,0.144,0.58,17.28
5,0.179,0.73,16.26
6,0.088,0.70,16.47
7,0.238,0.86,15.09
8,0.119,1.02,15.06
9,0.064,0.93,15.10
10,0.173,0.51,16.98
11,0.059,0.65,17.54
12,0.227,0.50,16.83
13,0.171,0.55,16.96
14,0.075,0.64,17.57
15,0.044,0.78,16.59
16,0.093,0.95,15.58
17,0.105,1.01,15.07
18,0.229,0.56,16.79
19,0.090,1.03,15.01
20,0.494,1.09,13.52